[1]
{
  "formula": "Ba2SiBr",
  "functional": "SCAN",
  "state": "single point on PBEsol structure",
  "raw_formation_energy_mev_per_atom": -1071,
  "energy_ev_per_atom": -28.215,
  "cell": [[2.300, 1.328, 8.264], [-2.300, 1.328, 8.264], [0.000, -2.656, 8.264]],
  "species": ["Ba", "Ba", "Si", "Br"],
  "frac_coords": [[0.244, 0.244, 0.244], [0.756, 0.756, 0.756], [0.500, 0.500, 0.500], [0.000, 0.000, 0.000]]
}



[2]
{
  "formula": "TiSnF2",
  "functional": "SCAN",
  "state": "single point on PBEsol structure",
  "e_above_lowest_polymorph_mev_per_atom": 0,
  "raw_formation_energy_mev_per_atom": -1932,
  "energy_ev_per_atom": -16.690,
  "cell": [[1.459, 0.842, 9.665], [-1.459, 0.842, 9.665], [0.000, -1.685, 9.665]],
  "species": ["Ti", "Sn", "F", "F"],
  "frac_coords": [[0.000, 0.000, 0.000], [0.500, 0.500, 0.500], [0.378, 0.378, 0.378], [0.622, 0.622, 0.622]]
}



[3]
{
  "formula": "K3Hg5",
  "functional": "SCAN",
  "state": "single point on PBEsol structure",
  "formation_energy_mev_per_atom": -250,
  "energy_ev_per_atom": -45.977,
  "cell": [[-6.269, 6.269, 3.086], [6.269, -6.269, 3.086], [6.269, 6.269, -3.086]],
  "species": ["K", "K", "K", "K", "K", "K", "Hg", "Hg", "Hg", "Hg", "Hg", "Hg", "Hg", "Hg", "Hg", "Hg"],
  "frac_coords": [[0.179, 0.679, 0.858], [0.250, 0.250, 0.000], [0.321, 0.179, 0.500], [0.679, 0.821, 0.500], [0.750, 0.750, 0.000], [0.821, 0.321, 0.142], [0.066, 0.257, 0.324], [0.243, 0.434, 0.676], [0.250, 0.750, 0.500], [0.257, 0.934, 0.191], [0.434, 0.757, 0.191], [0.566, 0.243, 0.809], [0.743, 0.066, 0.809], [0.750, 0.250, 0.500], [0.757, 0.566, 0.324], [0.934, 0.743, 0.676]]
}



[4]
{
  "formula": "LiCa3As2H",
  "functional": "SCAN",
  "state": "single point on PBEsol structure",
  "energy_ev_per_atom": -11.906,
  "cell": [[11.322, 0.000, 0.000], [0.000, 4.233, 0.000], [0.000, 0.000, 11.696]],
  "species": ["Li", "Li", "Li", "Li", "Ca", "Ca", "Ca", "Ca", "Ca", "Ca", "Ca", "Ca", "Ca", "Ca", "Ca", "Ca", "As", "As", "As", "As", "As", "As", "As", "As", "H", "H", "H", "H"],
  "frac_coords": [[0.132, 0.250, 0.138], [0.368, 0.750, 0.638], [0.632, 0.250, 0.362], [0.868, 0.750, 0.862], [0.059, 0.250, 0.378], [0.135, 0.750, 0.938], [0.210, 0.250, 0.704], [0.290, 0.750, 0.204], [0.365, 0.250, 0.438], [0.441, 0.750, 0.878], [0.559, 0.250, 0.122], [0.635, 0.750, 0.562], [0.710, 0.250, 0.796], [0.790, 0.750, 0.296], [0.865, 0.250, 0.062], [0.941, 0.750, 0.622], [0.019, 0.750, 0.176], [0.185, 0.750, 0.511], [0.315, 0.250, 0.011], [0.481, 0.250, 0.676], [0.519, 0.750, 0.324], [0.685, 0.750, 0.989], [0.815, 0.250, 0.489], [0.981, 0.250, 0.824], [0.236, 0.250, 0.277], [0.264, 0.750, 0.777], [0.736, 0.250, 0.223], [0.764, 0.750, 0.723]]
}



[5]
{
  "formula": "TcAuO2",
  "functional": "SCAN",
  "state": "single point on PBEsol structure",
  "raw_formation_energy_mev_per_atom": -388,
  "energy_ev_per_atom": -29.558,
  "cell": [[0.000, 4.149, 4.149], [4.149, 0.000, 4.149], [4.149, 4.149, 0.000]],
  "species": ["Tc", "Tc", "Au", "Au", "O", "O", "O", "O"],
  "frac_coords": [[0.125, 0.125, 0.125], [0.875, 0.875, 0.875], [0.375, 0.375, 0.375], [0.625, 0.625, 0.625], [0.000, 0.000, 0.000], [0.000, 0.000, 0.500], [0.000, 0.500, 0.000], [0.500, 0.000, 0.000]]
}



[6]
{
  "formula": "Ba3LaIr2O9",
  "functional": "SCAN",
  "state": "single point on PBEsol structure",
  "raw_formation_energy_mev_per_atom": -2308,
  "energy_ev_per_atom": -26.310,
  "cell": [[5.925, 0.000, 0.000], [-2.963, 5.131, 0.000], [0.000, 0.000, 15.025]],
  "species": ["Ba", "Ba", "Ba", "Ba", "Ba", "Ba", "La", "La", "Ir", "Ir", "Ir", "Ir", "O", "O", "O", "O", "O", "O", "O", "O", "O", "O", "O", "O", "O", "O", "O", "O", "O", "O"],
  "frac_coords": [[0.000, 0.000, 0.250], [0.000, 0.000, 0.750], [0.333, 0.667, 0.103], [0.333, 0.667, 0.397], [0.667, 0.333, 0.603], [0.667, 0.333, 0.897], [0.000, 0.000, 0.000], [0.000, 0.000, 0.500], [0.333, 0.667, 0.667], [0.333, 0.667, 0.833], [0.667, 0.333, 0.167], [0.667, 0.333, 0.333], [0.015, 0.507, 0.750], [0.179, 0.357, 0.593], [0.179, 0.357, 0.907], [0.179, 0.821, 0.593], [0.179, 0.821, 0.907], [0.357, 0.179, 0.093], [0.357, 0.179, 0.407], [0.493, 0.507, 0.750], [0.493, 0.985, 0.750], [0.507, 0.015, 0.250], [0.507, 0.493, 0.250], [0.643, 0.821, 0.593], [0.643, 0.821, 0.907], [0.821, 0.179, 0.093], [0.821, 0.179, 0.407], [0.821, 0.643, 0.093], [0.821, 0.643, 0.407], [0.985, 0.493, 0.250]]
}



[7]
{
  "formula": "AgAu3",
  "functional": "SCAN",
  "state": "single point on PBEsol structure",
  "formation_energy_mev_per_atom": -54,
  "e_above_lowest_polymorph_mev_per_atom": 13,
  "energy_ev_per_atom": -59.764,
  "cell": [[5.682, 0.000, 0.000], [-2.841, 4.921, 0.000], [0.000, 0.000, 4.809]],
  "species": ["Ag", "Ag", "Au", "Au", "Au", "Au", "Au", "Au"],
  "frac_coords": [[0.333, 0.667, 0.250], [0.667, 0.333, 0.750], [0.167, 0.334, 0.750], [0.167, 0.833, 0.750], [0.334, 0.167, 0.250], [0.666, 0.833, 0.750], [0.833, 0.167, 0.250], [0.833, 0.666, 0.250]]
}



[8]
{
  "formula": "CsW3N",
  "functional": "SCAN",
  "state": "single point on PBEsol structure",
  "raw_formation_energy_mev_per_atom": 1971,
  "energy_ev_per_atom": -49.262,
  "cell": [[4.289, 0.000, 0.000], [0.000, 4.289, 0.000], [0.000, 0.000, 4.289]],
  "species": ["Cs", "W", "W", "W", "N"],
  "frac_coords": [[0.000, 0.000, 0.000], [0.000, 0.500, 0.500], [0.500, 0.000, 0.500], [0.500, 0.500, 0.000], [0.500, 0.500, 0.500]]
}



[9]
{
  "formula": "NbBi2BSb",
  "functional": "SCAN",
  "state": "single point on PBEsol structure",
  "raw_formation_energy_mev_per_atom": 1125,
  "energy_ev_per_atom": -45.871,
  "cell": [[4.983, 0.000, 0.000], [0.000, 4.983, 0.000], [0.000, 0.000, 4.595]],
  "species": ["Nb", "Bi", "Bi", "B", "Sb"],
  "frac_coords": [[0.000, 0.000, 0.000], [0.000, 0.500, 0.500], [0.500, 0.000, 0.500], [0.500, 0.500, 0.500], [0.500, 0.500, 0.000]]
}



[10]
{
  "formula": "Mn2TeO",
  "functional": "SCAN",
  "state": "single point on PBEsol structure",
  "raw_formation_energy_mev_per_atom": -886,
  "energy_ev_per_atom": -20.885,
  "cell": [[-2.395, 2.395, 5.672], [2.395, -2.395, 5.672], [2.395, 2.395, -5.672]],
  "species": ["Mn", "Mn", "Mn", "Mn", "Te", "Te", "O", "O"],
  "frac_coords": [[0.375, 0.216, 0.341], [0.784, 0.125, 0.159], [0.875, 0.034, 0.659], [0.966, 0.625, 0.841], [0.250, 0.750, 0.500], [0.500, 0.500, 0.000], [0.000, 0.000, 0.000], [0.750, 0.250, 0.500]]
}



[11]
{
  "formula": "BaCo2Ag",
  "functional": "SCAN",
  "state": "single point on PBEsol structure",
  "formation_energy_mev_per_atom": 662,
  "energy_ev_per_atom": -25.720,
  "cell": [[3.408, 0.000, 0.000], [0.000, 3.408, 0.000], [0.000, 0.000, 6.835]],
  "species": ["Ba", "Co", "Co", "Ag"],
  "frac_coords": [[0.000, 0.000, 0.000], [0.500, 0.500, 0.342], [0.500, 0.500, 0.658], [0.000, 0.000, 0.500]]
}



[12]
{
  "formula": "Mn5Si",
  "functional": "SCAN",
  "state": "single point on PBEsol structure",
  "raw_formation_energy_mev_per_atom": -147,
  "energy_ev_per_atom": -17.028,
  "cell": [[4.361, -1.377, 0.000], [4.361, 1.377, 0.000], [-1.768, 0.000, 5.245]],
  "species": ["Mn", "Mn", "Mn", "Mn", "Mn", "Si"],
  "frac_coords": [[0.000, 0.000, 0.000], [0.330, 0.330, 0.171], [0.337, 0.337, 0.662], [0.663, 0.663, 0.338], [0.670, 0.670, 0.829], [0.000, 0.000, 0.500]]
}



[13]
{
  "formula": "MgNi2Sb",
  "functional": "SCAN",
  "state": "single point on PBEsol structure",
  "raw_formation_energy_mev_per_atom": -187,
  "energy_ev_per_atom": -18.832,
  "cell": [[4.111, 0.000, 0.000], [0.000, 4.111, 0.000], [0.000, 0.000, 3.389]],
  "species": ["Mg", "Ni", "Ni", "Sb"],
  "frac_coords": [[0.000, 0.000, 0.000], [0.000, 0.500, 0.500], [0.500, 0.000, 0.500], [0.500, 0.500, 0.000]]
}



[14]
{
  "formula": "TlSnO2",
  "functional": "SCAN",
  "state": "single point on PBEsol structure",
  "raw_formation_energy_mev_per_atom": -686,
  "energy_ev_per_atom": -30.871,
  "cell": [[1.695, 0.979, 6.878], [-1.695, 0.979, 6.878], [0.000, -1.957, 6.878]],
  "species": ["Tl", "Sn", "O", "O"],
  "frac_coords": [[0.000, 0.000, 0.000], [0.500, 0.500, 0.500], [0.391, 0.391, 0.391], [0.609, 0.609, 0.609]]
}



[15]
{
  "formula": "KHgPb2",
  "functional": "SCAN",
  "state": "single point on PBEsol structure",
  "formation_energy_mev_per_atom": -86,
  "energy_ev_per_atom": -57.100,
  "cell": [[3.323, -5.333, 0.000], [3.323, 5.333, 0.000], [0.000, 0.000, 3.283]],
  "species": ["K", "Hg", "Pb", "Pb"],
  "frac_coords": [[0.000, 0.000, 0.000], [0.500, 0.500, 0.000], [0.000, 0.500, 0.500], [0.500, 0.000, 0.500]]
}



[16]
{
  "formula": "MgCo2Ni",
  "functional": "SCAN",
  "state": "single point on PBEsol structure",
  "formation_energy_mev_per_atom": 257,
  "energy_ev_per_atom": -13.682,
  "cell": [[1.288, 0.744, 8.242], [-1.288, 0.744, 8.242], [0.000, -1.487, 8.242]],
  "species": ["Mg", "Co", "Co", "Ni"],
  "frac_coords": [[0.000, 0.000, 0.000], [0.245, 0.245, 0.245], [0.755, 0.755, 0.755], [0.500, 0.500, 0.500]]
}



[17]
{
  "formula": "CoAs2O6",
  "functional": "SCAN",
  "state": "single point on PBEsol structure",
  "raw_formation_energy_mev_per_atom": -1335,
  "energy_ev_per_atom": -11.898,
  "cell": [[4.810, 0.000, 0.000], [-2.405, 4.166, 0.000], [0.000, 0.000, 4.423]],
  "species": ["Co", "As", "As", "O", "O", "O", "O", "O", "O"],
  "frac_coords": [[0.000, 0.000, 0.000], [0.333, 0.667, 0.500], [0.667, 0.333, 0.500], [0.000, 0.358, 0.730], [0.000, 0.642, 0.270], [0.358, 0.000, 0.730], [0.358, 0.358, 0.270], [0.642, 0.000, 0.270], [0.642, 0.642, 0.730]]
}



[18]
{
  "formula": "Y2Co5Ni5",
  "functional": "SCAN",
  "state": "single point on PBEsol structure",
  "formation_energy_mev_per_atom": -158,
  "energy_ev_per_atom": -18.748,
  "cell": [[3.900, 0.000, 0.000], [0.000, 4.839, 0.000], [0.000, 0.000, 8.302]],
  "species": ["Y", "Y", "Co", "Co", "Co", "Co", "Co", "Ni", "Ni", "Ni", "Ni", "Ni"],
  "frac_coords": [[0.000, 0.000, 0.000], [0.000, 0.500, 0.500], [0.000, 0.000, 0.335], [0.000, 0.000, 0.665], [0.000, 0.500, 0.159], [0.000, 0.500, 0.841], [0.500, 0.500, 0.000], [0.500, 0.000, 0.500], [0.500, 0.250, 0.250], [0.500, 0.250, 0.750], [0.500, 0.750, 0.250], [0.500, 0.750, 0.750]]
}



[19]
{
  "formula": "MgFeRh3",
  "functional": "SCAN",
  "state": "single point on PBEsol structure",
  "formation_energy_mev_per_atom": 1178,
  "energy_ev_per_atom": -23.705,
  "cell": [[4.376, 0.000, 0.000], [0.000, 4.376, 0.000], [0.000, 0.000, 4.376]],
  "species": ["Mg", "Fe", "Rh", "Rh", "Rh"],
  "frac_coords": [[0.000, 0.000, 0.000], [0.500, 0.500, 0.500], [0.000, 0.000, 0.500], [0.000, 0.500, 0.000], [0.500, 0.000, 0.000]]
}



[20]
{
  "formula": "TaRhSCl2",
  "functional": "SCAN",
  "state": "single point on PBEsol structure",
  "raw_formation_energy_mev_per_atom": 639,
  "energy_ev_per_atom": -24.549,
  "cell": [[4.532, 0.000, 0.000], [0.000, 4.532, 0.000], [0.000, 0.000, 4.658]],
  "species": ["Ta", "Rh", "S", "Cl", "Cl"],
  "frac_coords": [[0.000, 0.000, 0.000], [0.500, 0.500, 0.500], [0.500, 0.500, 0.000], [0.000, 0.500, 0.500], [0.500, 0.000, 0.500]]
}